The following is a PBE+U calculation of a relaxed structure of CaNdHfCrO6, from Alexandria.

Lattice parameters (Å, degrees): 5.645 5.645 5.645 60.00 60.00 60.00
Sites, in units of the cell vectors:
Ca 0.000 0.000 0.000
Nd 0.500 0.500 0.500
Hf 0.750 0.750 0.750
Cr 0.250 0.250 0.250
O 0.005 0.005 0.495
O 0.005 0.495 0.005
O 0.005 0.495 0.495
O 0.495 0.005 0.005
O 0.495 0.005 0.495
O 0.495 0.495 0.005

## Properties
Density of states at the Fermi level   0.000 states/eV/atom
Calculated density   6.67 Mg/m³
Symmetry   F-43m (216)
DFT total energy   -8.3002 eV/atom

The following is a PBE+U calculation of a relaxed structure of CaHfCr2O8, from Alexandria.

Lattice parameters (Å, degrees): 5.864 5.864 5.864 105.91 105.91 116.85
Sites, in units of the cell vectors:
Ca 0.000 0.000 0.000
Hf 0.750 0.250 0.500
Cr 0.250 0.750 0.500
Cr 0.500 0.500 0.000
O 0.058 0.381 0.323
O 0.058 0.736 0.677
O 0.136 0.334 0.802
O 0.264 0.942 0.323
O 0.533 0.334 0.198
O 0.619 0.942 0.677
O 0.666 0.467 0.802
O 0.666 0.864 0.198

## Properties
Density of states at the Fermi level   0.097 states/eV/atom
Calculated density   4.88 Mg/m³
Symmetry   I-4m2 (119)
DFT total energy   -7.6781 eV/atom

The following is a PBE+U calculation of a relaxed structure of CaPrHfCrO6, from Alexandria.

Lattice parameters (Å, degrees): 5.652 5.652 5.652 60.00 60.00 60.00
Sites, in units of the cell vectors:
Ca 0.000 0.000 0.000
Pr 0.500 0.500 0.500
Hf 0.250 0.250 0.250
Cr 0.750 0.750 0.750
O 0.504 0.504 0.996
O 0.504 0.996 0.504
O 0.504 0.996 0.996
O 0.996 0.504 0.504
O 0.996 0.504 0.996
O 0.996 0.996 0.504

## Properties
Density of states at the Fermi level   0.000 states/eV/atom
Calculated density   6.60 Mg/m³
Symmetry   F-43m (216)
DFT total energy   -8.3105 eV/atom